[1]
{"formula": "Be2AlRh", "functional": "PBE", "state": "relaxed", "lattice_angstrom": [[4.4247, -0.0072, -0.0597], [1.6484, 4.1062, 0.0597], [-2.9985, -2.1059, 2.4811]], "species": ["Be", "Be", "Rh", "Al"], "frac_coords": [[0.9999, 0.9999, 0.0000], [0.5001, 0.5001, 0.0000], [0.7500, 0.2500, 0.5000], [0.2500, 0.7500, 0.5000]], "mass_density_g_cm3": 5.4, "ef_ev_per_fu": -2.0, "dft_energy_ev_per_cell": -20.508, "spacegroup": "Immm", "magmom_total_mub_per_fu": 0.00}


[2]
{"formula": "LaNdGaCo", "functional": "PBE", "state": "relaxed", "lattice_angstrom": [[-1.7827, 3.3958, -0.9730], [-3.2412, -0.9123, 2.7546], [3.7369, 1.0126, 4.7324]], "species": ["La", "Nd", "Ga", "Co"], "frac_coords": [[0.8570, 0.5000, 0.7139], [0.1311, 0.0000, 0.2623], [0.5617, 0.5000, 0.1234], [0.4502, 0.0000, 0.9005]], "mass_density_g_cm3": 6.9, "ef_ev_per_fu": -1.2, "dft_energy_ev_per_cell": -21.053, "spacegroup": "Amm2", "magmom_total_mub_per_fu": 0.00, "de_polymorph_mev_per_atom": 0}


[3]
{"formula": "LaMgZrHg2", "functional": "PBE", "state": "relaxed", "lattice_angstrom": [[5.9261, 0.0000, 0.0000], [0.0000, 5.3273, 0.0000], [0.0000, 0.0000, 5.9261]], "species": ["Mg", "Hg", "Hg", "Zr", "La"], "frac_coords": [[0.5000, 0.5000, 0.5000], [0.0000, 0.0000, 0.5000], [0.5000, 0.0000, 0.0000], [0.0000, 0.5000, 0.0000], [0.0000, 0.0000, 0.0000]], "mass_density_g_cm3": 5.8, "ef_ev_per_fu": 4.6, "dft_energy_ev_per_cell": -11.114, "spacegroup": "P4/mmm", "magmom_total_mub_per_fu": 0.00}


What did the first record say?
{"formula": "Be2AlRh", "functional": "PBE", "state": "relaxed", "lattice_angstrom": [[4.4247, -0.0072, -0.0597], [1.6484, 4.1062, 0.0597], [-2.9985, -2.1059, 2.4811]], "species": ["Be", "Be", "Rh", "Al"], "frac_coords": [[0.9999, 0.9999, 0.0000], [0.5001, 0.5001, 0.0000], [0.7500, 0.2500, 0.5000], [0.2500, 0.7500, 0.5000]], "mass_density_g_cm3": 5.4, "ef_ev_per_fu": -2.0, "dft_energy_ev_per_cell": -20.508, "spacegroup": "Immm", "magmom_total_mub_per_fu": 0.00}